[1]
Here is crystalline Sb2TeSeI at its relaxed geometry from the Alexandria database. Energies are from GGA-PBE.

Cell and atoms, written as POSCAR:
```
Sb2TeSeI
1.0
5.891 0.000 0.000
0.000 5.891 0.000
0.000 0.000 5.694
Sb Te Se I
2 1 1 1
Direct
0.000 0.500 0.000
0.500 0.000 0.000
0.000 0.000 0.000
0.500 0.500 0.500
0.000 0.000 0.500
```

Output
uncorrected formation energy	0.8705	eV/atom
space group	P4/mmm, No. 123
energy relative to the lowest polymorph listed for this composition	0.310	eV/atom

=====

[2]
Here is crystalline PmAgSO6 at its relaxed geometry from the Alexandria database. Energies are from GGA-PBE.

Cell and atoms, written as POSCAR:
```
PmAgSO6
1.0
5.239 0.000 0.000
2.510 4.600 0.000
2.610 1.478 4.334
Pm Ag S O
1 1 1 6
Direct
0.000 0.000 0.000
0.526 0.467 0.524
0.753 0.746 0.747
0.028 0.506 0.903
0.488 0.997 0.576
0.556 0.496 0.949
0.556 0.892 0.032
0.943 0.585 0.470
0.946 0.999 0.538
```

Output
uncorrected formation energy	-1.2402	eV/atom
space group	P1, No. 1

=====

[3]
Here is crystalline Na3Mg at its relaxed geometry from the Alexandria database. Energies are from GGA-PBE.

Cell and atoms, written as POSCAR:
```
Na3Mg
1.0
-2.478 2.478 5.246
2.478 -2.478 5.246
2.478 2.478 -5.246
Na Mg
3 1
Direct
0.000 0.000 0.000
0.250 0.750 0.500
0.750 0.250 0.500
0.500 0.500 0.000
```

Output
energy of formation from the pure elements	86	meV per atom
space group	I4/mmm, No. 139